DFT (PBE) results for a relaxed K2TlIn7 crystal.

Unit cell a=5.034 b=5.034 c=12.621 alpha=90.00 beta=90.00 gamma=90.00
Positions (direct):
K: 0.000 0.500 0.248
K: 0.500 0.000 0.752
Tl: 0.000 0.000 0.500
In: 0.000 0.000 0.000
In: 0.000 0.500 0.638
In: 0.000 0.500 0.866
In: 0.500 0.000 0.134
In: 0.500 0.000 0.362
In: 0.500 0.500 0.000
In: 0.500 0.500 0.500

Its volume is 319.9 Å³ per cell. Its space group is P-4m2. The formation energy from the elements comes out at -113 meV/atom. The value obtained for the density of states at the Fermi level is 4.0 states/eV/f.u. Its total magnetization is 0.000 μB/atom.